Density functional theory data (GGA-PBE) for a relaxed MoPdW crystal.

Properties
calculated formation energy	276	meV/atom
volume	16.13	Å³ per atom
total magnetic moment	0.00	μB per cell
energy above the most stable polymorph in this dataset	108.1	meV/atom

abc: 3.2702 3.2702 9.0517
angles: 90.00 90.00 90.00
Space group I4mm (No. 107)
Inequivalent atoms, fractional coordinates:
Mo 0.0000 0.0000 0.0000
Pd 0.0000 0.0000 0.6806
W 0.0000 0.0000 0.3576